Record 1
# Zn7CuAu2 PBE relaxed
data_Zn7CuAu2
_chemical_formula_sum 'Zn7 Cu1 Au2'
_cell_length_a 6.5494
_cell_length_b 6.5494
_cell_length_c 6.5494
_cell_angle_alpha 60.00
_cell_angle_beta 60.00
_cell_angle_gamma 60.00
_symmetry_space_group_name_H-M 'P 1'
_symmetry_Int_Tables_number 1
_symmetry_space_group_name_Hall 'P 1'
loop_
_atom_site_label
_atom_site_fract_x
_atom_site_fract_y
_atom_site_fract_z
Zn1 0.7529 0.2471 0.7529
Zn2 0.7529 0.2471 0.2471
Zn3 0.2471 0.7529 0.7529
Zn4 0.2471 0.7529 0.2471
Zn5 0.2471 0.2471 0.7529
Zn6 0.7529 0.7529 0.2471
Zn7 0.5000 0.5000 0.5000
Au1 0.2500 0.2500 0.2500
Au2 0.7500 0.7500 0.7500
Cu1 0.0000 0.0000 0.0000
# calculated formation energy = 0.365 eV per atom
# spin magnetization = 0.000 Bohr magnetons per cell
# E_tot = -0.05851 hartree per atom

---

Record 2
# Zn3CuAu6 PBE relaxed
data_Zn3CuAu6
_chemical_formula_sum 'Zn6 Cu2 Au12'
_cell_length_a 7.3038
_cell_length_b 7.3038
_cell_length_c 7.3038
_cell_angle_alpha 103.26
_cell_angle_beta 103.26
_cell_angle_gamma 103.26
_symmetry_space_group_name_H-M 'P 1'
_symmetry_Int_Tables_number 1
_symmetry_space_group_name_Hall 'P 1'
loop_
_atom_site_label
_atom_site_fract_x
_atom_site_fract_y
_atom_site_fract_z
Au1 0.3521 0.4677 0.8196
Au2 0.6962 0.1569 0.0409
Au3 0.1804 0.6479 0.5323
Au4 0.1569 0.0409 0.6962
Au5 0.9591 0.3038 0.8431
Au6 0.0409 0.6962 0.1569
Au7 0.3038 0.8431 0.9591
Au8 0.8196 0.3521 0.4677
Au9 0.8431 0.9591 0.3038
Au10 0.6479 0.5323 0.1804
Au11 0.5323 0.1804 0.6479
Au12 0.4677 0.8196 0.3521
Zn1 0.1573 0.2540 0.4279
Zn2 0.5721 0.8427 0.7460
Zn3 0.4279 0.1573 0.2540
Zn4 0.7460 0.5721 0.8427
Zn5 0.8427 0.7460 0.5721
Zn6 0.2540 0.4279 0.1573
Cu1 0.0000 0.0000 0.0000
Cu2 0.5000 0.5000 0.5000
# calculated formation energy = -0.056 eV per atom
# spin magnetization = 0.000 Bohr magnetons per cell
# E_tot = -0.10342 hartree per atom

---

Record 3
# Zn12Cu7Au PBE relaxed
data_Zn12Cu7Au
_chemical_formula_sum 'Zn12 Cu7 Au1'
_cell_length_a 7.7995
_cell_length_b 7.7995
_cell_length_c 7.7995
_cell_angle_alpha 109.47
_cell_angle_beta 109.47
_cell_angle_gamma 109.47
_symmetry_space_group_name_H-M 'P 1'
_symmetry_Int_Tables_number 1
_symmetry_space_group_name_Hall 'P 1'
loop_
_atom_site_label
_atom_site_fract_x
_atom_site_fract_y
_atom_site_fract_z
Zn1 0.8455 0.5716 0.7261
Zn2 0.4284 0.2739 0.1545
Zn3 0.7261 0.1545 0.8806
Zn4 0.1545 0.8806 0.7261
Zn5 0.8455 0.1194 0.2739
Zn6 0.5716 0.7261 0.8455
Zn7 0.1545 0.4284 0.2739
Zn8 0.2739 0.1545 0.4284
Zn9 0.7261 0.8455 0.5716
Zn10 0.8806 0.7261 0.1545
Zn11 0.1194 0.2739 0.8455
Zn12 0.2739 0.8455 0.1194
Au1 0.0000 0.0000 0.0000
Cu1 0.5000 0.0000 0.0000
Cu2 0.5000 0.0000 0.5000
Cu3 0.0000 0.0000 0.5000
Cu4 0.5000 0.5000 0.0000
Cu5 0.0000 0.5000 0.5000
Cu6 0.5000 0.5000 0.5000
Cu7 0.0000 0.5000 0.0000
# calculated formation energy = 0.313 eV per atom
# spin magnetization = 0.000 Bohr magnetons per cell
# E_tot = -0.07528 hartree per atom

---

Record 4
# Zn2Cu2Au PBE relaxed
data_Zn2Cu2Au
_chemical_formula_sum 'Zn2 Cu2 Au1'
_cell_length_a 3.4553
_cell_length_b 3.4553
_cell_length_c 6.8471
_cell_angle_alpha 75.39
_cell_angle_beta 75.39
_cell_angle_gamma 90.00
_symmetry_space_group_name_H-M 'P 1'
_symmetry_Int_Tables_number 1
_symmetry_space_group_name_Hall 'P 1'
loop_
_atom_site_label
_atom_site_fract_x
_atom_site_fract_y
_atom_site_fract_z
Au1 0.0000 0.0000 0.0000
Zn1 0.6028 0.6028 0.7943
Zn2 0.3972 0.3972 0.2057
Cu1 0.2500 0.7500 0.5000
Cu2 0.7500 0.2500 0.5000
# calculated formation energy = 0.009 eV per atom
# spin magnetization = 0.000 Bohr magnetons per cell
# E_tot = -0.10270 hartree per atom

---

Record 5
# Zn2Cu3Au PBE relaxed
data_Zn2Cu3Au
_chemical_formula_sum 'Zn4 Cu6 Au2'
_cell_length_a 5.8025
_cell_length_b 5.8025
_cell_length_c 7.6649
_cell_angle_alpha 82.86
_cell_angle_beta 137.35
_cell_angle_gamma 101.11
_symmetry_space_group_name_H-M 'P 1'
_symmetry_Int_Tables_number 1
_symmetry_space_group_name_Hall 'P 1'
loop_
_atom_site_label
_atom_site_fract_x
_atom_site_fract_y
_atom_site_fract_z
Zn1 0.2632 0.8872 0.6386
Zn2 0.7486 0.6246 0.8614
Zn3 0.7368 0.1128 0.3614
Zn4 0.2514 0.3754 0.1386
Cu1 0.6766 0.6985 0.4955
Cu2 0.1974 0.9474 0.2500
Cu3 0.3234 0.3015 0.5045
Cu4 0.7030 0.1811 0.0045
Cu5 0.8026 0.0526 0.7500
Cu6 0.2970 0.8189 0.9955
Au1 0.8306 0.5806 0.2500
Au2 0.1694 0.4194 0.7500
# calculated formation energy = -0.013 eV per atom
# spin magnetization = 0.000 Bohr magnetons per cell
# E_tot = -0.11141 hartree per atom

---

Record 6
# Zn4CuAu3 PBE relaxed
data_Zn4CuAu3
_chemical_formula_sum 'Zn4 Cu1 Au3'
_cell_length_a 4.4244
_cell_length_b 4.4244
_cell_length_c 7.7993
_cell_angle_alpha 73.52
_cell_angle_beta 73.52
_cell_angle_gamma 60.00
_symmetry_space_group_name_H-M 'P 1'
_symmetry_Int_Tables_number 1
_symmetry_space_group_name_Hall 'P 1'
loop_
_atom_site_label
_atom_site_fract_x
_atom_site_fract_y
_atom_site_fract_z
Au1 0.2542 0.2542 0.2373
Au2 0.7458 0.7458 0.7627
Au3 0.5000 0.5000 0.5000
Zn1 0.8772 0.8772 0.3683
Zn2 0.3737 0.3737 0.8790
Zn3 0.1228 0.1228 0.6317
Zn4 0.6263 0.6263 0.1210
Cu1 0.0000 0.0000 0.0000
# calculated formation energy = -0.166 eV per atom
# spin magnetization = 0.000 Bohr magnetons per cell
# E_tot = -0.09349 hartree per atom

---

Record 7
# Zn3Cu2Au PBE relaxed
data_Zn3Cu2Au
_chemical_formula_sum 'Zn3 Cu2 Au1'
_cell_length_a 3.0518
_cell_length_b 3.0518
_cell_length_c 9.1096
_cell_angle_alpha 90.00
_cell_angle_beta 90.00
_cell_angle_gamma 90.00
_symmetry_space_group_name_H-M 'P 1'
_symmetry_Int_Tables_number 1
_symmetry_space_group_name_Hall 'P 1'
loop_
_atom_site_label
_atom_site_fract_x
_atom_site_fract_y
_atom_site_fract_z
Zn1 0.0000 0.0000 0.3107
Zn2 0.0000 0.0000 0.0000
Zn3 0.0000 0.0000 0.6893
Cu1 0.5000 0.5000 0.1537
Cu2 0.5000 0.5000 0.8463
Au1 0.5000 0.5000 0.5000
# calculated formation energy = -0.119 eV per atom
# spin magnetization = 0.000 Bohr magnetons per cell
# E_tot = -0.09804 hartree per atom

---

Record 8
# Zn6CuAu12 PBE relaxed
data_Zn6CuAu12
_chemical_formula_sum 'Zn6 Cu1 Au12'
_cell_length_a 7.4382
_cell_length_b 7.4382
_cell_length_c 7.4382
_cell_angle_alpha 107.35
_cell_angle_beta 107.35
_cell_angle_gamma 107.35
_symmetry_space_group_name_H-M 'P 1'
_symmetry_Int_Tables_number 1
_symmetry_space_group_name_Hall 'P 1'
loop_
_atom_site_label
_atom_site_fract_x
_atom_site_fract_y
_atom_site_fract_z
Au1 0.4076 0.5181 0.8118
Au2 0.1882 0.5924 0.4819
Au3 0.8961 0.1613 0.7266
Au4 0.5924 0.4819 0.1882
Au5 0.7266 0.8961 0.1613
Au6 0.2734 0.1039 0.8387
Au7 0.1039 0.8387 0.2734
Au8 0.4819 0.1882 0.5924
Au9 0.1613 0.7266 0.8961
Au10 0.8118 0.4076 0.5181
Au11 0.5181 0.8118 0.4076
Au12 0.8387 0.2734 0.1039
Zn1 0.2048 0.4616 0.0924
Zn2 0.5384 0.9076 0.7952
Zn3 0.7952 0.5384 0.9076
Zn4 0.0924 0.2048 0.4616
Zn5 0.9076 0.7952 0.5384
Zn6 0.4616 0.0924 0.2048
Cu1 0.0000 0.0000 0.0000
# calculated formation energy = -0.101 eV per atom
# spin magnetization = 0.000 Bohr magnetons per cell
# E_tot = -0.10250 hartree per atom

---

Record 9
# Zn2Cu5Au4 PBE relaxed
data_Zn2Cu5Au4
_chemical_formula_sum 'Zn2 Cu5 Au4'
_cell_length_a 2.7313
_cell_length_b 6.6886
_cell_length_c 11.2333
_cell_angle_alpha 122.19
_cell_angle_beta 96.98
_cell_angle_gamma 90.00
_symmetry_space_group_name_H-M 'P 1'
_symmetry_Int_Tables_number 1
_symmetry_space_group_name_Hall 'P 1'
loop_
_atom_site_label
_atom_site_fract_x
_atom_site_fract_y
_atom_site_fract_z
Zn1 0.0554 0.7753 0.1108
Zn2 0.9446 0.2247 0.8892
Au1 0.7194 0.6262 0.4388
Au2 0.0804 0.4339 0.1608
Au3 0.9196 0.5661 0.8392
Au4 0.2806 0.3738 0.5612
Cu1 0.8576 0.8067 0.7152
Cu2 0.5000 0.0000 0.0000
Cu3 0.1424 0.1933 0.2848
Cu4 0.8128 0.0900 0.6257
Cu5 0.1872 0.9100 0.3743
# calculated formation energy = 0.060 eV per atom
# spin magnetization = 0.000 Bohr magnetons per cell
# E_tot = -0.11852 hartree per atom

---

Record 10
# ZnCu8Au3 PBE relaxed
data_ZnCu8Au3
_chemical_formula_sum 'Zn1 Cu8 Au3'
_cell_length_a 6.4664
_cell_length_b 6.4664
_cell_length_c 6.4664
_cell_angle_alpha 94.30
_cell_angle_beta 117.55
_cell_angle_gamma 117.55
_symmetry_space_group_name_H-M 'P 1'
_symmetry_Int_Tables_number 1
_symmetry_space_group_name_Hall 'P 1'
loop_
_atom_site_label
_atom_site_fract_x
_atom_site_fract_y
_atom_site_fract_z
Au1 0.5000 0.2500 0.7500
Au2 0.0000 0.5000 0.5000
Au3 0.5000 0.7500 0.2500
Cu1 0.7335 0.0939 0.0939
Cu2 0.0000 0.6396 0.9061
Cu3 0.5237 0.7215 0.7215
Cu4 0.0000 0.2785 0.8021
Cu5 0.4763 0.1979 0.1979
Cu6 0.0000 0.9061 0.6396
Cu7 0.0000 0.8021 0.2785
Cu8 0.2665 0.3604 0.3604
Zn1 0.0000 0.0000 0.0000
# calculated formation energy = 0.368 eV per atom
# spin magnetization = 0.000 Bohr magnetons per cell
# E_tot = -0.12086 hartree per atom

---

Record 11
# Zn4CuAu PBE relaxed
data_Zn4CuAu
_chemical_formula_sum 'Zn4 Cu1 Au1'
_cell_length_a 4.7310
_cell_length_b 4.7649
_cell_length_c 4.7568
_cell_angle_alpha 59.95
_cell_angle_beta 81.18
_cell_angle_gamma 72.20
_symmetry_space_group_name_H-M 'P 1'
_symmetry_Int_Tables_number 1
_symmetry_space_group_name_Hall 'P 1'
loop_
_atom_site_label
_atom_site_fract_x
_atom_site_fract_y
_atom_site_fract_z
Cu1 0.0011 0.5018 0.4961
Au1 0.5012 0.0020 0.4952
Zn1 0.0014 0.1724 0.1540
Zn2 0.5014 0.3402 0.8187
Zn3 0.0014 0.8311 0.8367
Zn4 0.5013 0.6636 0.1719
# calculated formation energy = -0.097 eV per atom
# spin magnetization = 0.000 Bohr magnetons per cell
# E_tot = -0.07995 hartree per atom

---

Record 12
# ZnCu6Au12 PBE relaxed
data_ZnCu6Au12
_chemical_formula_sum 'Zn1 Cu6 Au12'
_cell_length_a 6.9665
_cell_length_b 7.5069
_cell_length_c 7.5069
_cell_angle_alpha 69.12
_cell_angle_beta 71.98
_cell_angle_gamma 108.02
_symmetry_space_group_name_H-M 'P 1'
_symmetry_Int_Tables_number 1
_symmetry_space_group_name_Hall 'P 1'
loop_
_atom_site_label
_atom_site_fract_x
_atom_site_fract_y
_atom_site_fract_z
Au1 0.1110 0.3750 0.0527
Au2 0.6708 0.8740 0.8540
Au3 0.7968 0.2720 0.8740
Au4 0.1637 0.0527 0.5723
Au5 0.3292 0.1260 0.1460
Au6 0.8363 0.9473 0.4277
Au7 0.8890 0.6250 0.9473
Au8 0.2032 0.7280 0.1260
Au9 0.5248 0.8540 0.2720
Au10 0.4752 0.1460 0.7280
Au11 0.2640 0.4277 0.6250
Au12 0.7360 0.5723 0.3750
Zn1 0.0000 0.0000 0.0000
Cu1 0.4199 0.4679 0.2156
Cu2 0.5801 0.5321 0.7844
Cu3 0.3645 0.7844 0.6835
Cu4 0.9520 0.3165 0.4679
Cu5 0.0480 0.6835 0.5321
Cu6 0.6355 0.2156 0.3165
# calculated formation energy = -0.036 eV per atom
# spin magnetization = 0.000 Bohr magnetons per cell
# E_tot = -0.12740 hartree per atom